1 | This record from Alexandria via LeMat-Bulk describes BeB3Ir after structural relaxation. The functional is PBE.

Properties
For the density of states at the Fermi level, the calculation gives 0.49 states/eV/atom.

Unit cell a=4.1204 b=4.1204 c=4.1204 alpha=90.00 beta=90.00 gamma=90.00
Atoms (fractional coordinates):
1 Be 0.0000 0.0000 0.0000
2 B 0.0000 0.5000 0.5000
3 B 0.5000 0.0000 0.5000
4 B 0.5000 0.5000 0.0000
5 Ir 0.5000 0.5000 0.5000

---

2 | This record from Alexandria via LeMat-Bulk describes BeB3Ir after structural relaxation. The functional is PBE.

Properties
For the density of states at the Fermi level, the calculation gives 0.34 states/eV/atom.

Unit cell a=3.5663 b=3.5663 c=3.5663 alpha=90.00 beta=90.00 gamma=90.00
Atoms (fractional coordinates):
1 Be 0.0000 0.0000 0.0000
2 B 0.0000 0.0000 0.5000
3 B 0.0000 0.5000 0.0000
4 B 0.5000 0.0000 0.0000
5 Ir 0.5000 0.5000 0.5000

---

How far above the most stable structure does each one sit? In eV/atom: 1 0.000; 2 0.164.